# BaLaAs2 GGA-PBE optimized geometry
# * space-group type: I-42d, No. 122
# * offset from the most stable computed form: 219 meV/atom
data_BaLaAs2
_chemical_formula_sum 'Ba2 La2 As4'
_cell_length_a 7.069
_cell_length_b 7.069
_cell_length_c 7.069
_cell_angle_alpha 108.35
_cell_angle_beta 108.35
_cell_angle_gamma 111.73
_space_group_name_H-M_alt 'P 1'
_space_group_IT_number 1
_space_group_name_Hall 'P 1'
loop_
_atom_site_label
_atom_site_fract_x
_atom_site_fract_y
_atom_site_fract_z
_atom_site_occupancy
Ba1 0.000 0.000 0.000 1
Ba2 0.750 0.250 0.500 1
La1 0.250 0.750 0.500 1
La2 0.500 0.500 0.000 1
As1 0.149 0.125 0.524 1
As2 0.375 0.851 0.976 1
As3 0.601 0.625 0.476 1
As4 0.875 0.399 0.024 1

# TbPm12Ho6 GGA-PBE optimized geometry
# * space-group type: R-3, No. 148
# * offset from the most stable computed form: 0 meV/atom
data_TbPm12Ho6
_chemical_formula_sum 'Tb1 Pm12 Ho6'
_cell_length_a 9.536
_cell_length_b 9.536
_cell_length_c 9.536
_cell_angle_alpha 110.90
_cell_angle_beta 110.90
_cell_angle_gamma 110.90
_space_group_name_H-M_alt 'P 1'
_space_group_IT_number 1
_space_group_name_Hall 'P 1'
loop_
_atom_site_label
_atom_site_fract_x
_atom_site_fract_y
_atom_site_fract_z
_atom_site_occupancy
Tb1 0.000 0.000 0.000 1
Pm1 0.055 0.580 0.371 1
Pm2 0.105 0.157 0.737 1
Pm3 0.157 0.737 0.105 1
Pm4 0.263 0.895 0.843 1
Pm5 0.371 0.055 0.580 1
Pm6 0.420 0.629 0.945 1
Pm7 0.580 0.371 0.055 1
Pm8 0.629 0.945 0.420 1
Pm9 0.737 0.105 0.157 1
Pm10 0.843 0.263 0.895 1
Pm11 0.895 0.843 0.263 1
Pm12 0.945 0.420 0.629 1
Ho1 0.213 0.317 0.472 1
Ho2 0.317 0.472 0.213 1
Ho3 0.472 0.213 0.317 1
Ho4 0.528 0.787 0.683 1
Ho5 0.683 0.528 0.787 1
Ho6 0.787 0.683 0.528 1

# NpSiIr2 GGA-PBE optimized geometry
# * space-group type: Pmmm, No. 47
# * E_form (uncorrected): -1.09 eV per formula unit
data_NpSiIr2
_chemical_formula_sum 'Np1 Si1 Ir2'
_cell_length_a 2.954
_cell_length_b 4.114
_cell_length_c 5.649
_cell_angle_alpha 90.00
_cell_angle_beta 90.00
_cell_angle_gamma 90.00
_space_group_name_H-M_alt 'P 1'
_space_group_IT_number 1
_space_group_name_Hall 'P 1'
loop_
_atom_site_label
_atom_site_fract_x
_atom_site_fract_y
_atom_site_fract_z
_atom_site_occupancy
Np1 0.000 0.000 0.000 1
Si1 0.500 0.000 0.500 1
Ir1 0.500 0.500 0.258 1
Ir2 0.500 0.500 0.742 1

# SrTbTl2 GGA-PBE optimized geometry
# * space-group type: R3m, No. 160
data_SrTbTl2
_chemical_formula_sum 'Sr1 Tb1 Tl2'
_cell_length_a 10.252
_cell_length_b 10.252
_cell_length_c 10.252
_cell_angle_alpha 22.03
_cell_angle_beta 22.03
_cell_angle_gamma 22.03
_space_group_name_H-M_alt 'P 1'
_space_group_IT_number 1
_space_group_name_Hall 'P 1'
loop_
_atom_site_label
_atom_site_fract_x
_atom_site_fract_y
_atom_site_fract_z
_atom_site_occupancy
Sr1 0.000 0.000 0.000 1
Tb1 0.168 0.168 0.168 1
Tl1 0.580 0.580 0.580 1
Tl2 0.755 0.755 0.755 1

# Tb2Dy2HoEr GGA-PBE optimized geometry
# * space-group type: Pnnm, No. 58
data_Tb2Dy2HoEr
_chemical_formula_sum 'Tb4 Dy4 Ho2 Er2'
_cell_length_a 6.517
_cell_length_b 17.594
_cell_length_c 3.352
_cell_angle_alpha 90.00
_cell_angle_beta 90.00
_cell_angle_gamma 90.00
_space_group_name_H-M_alt 'P 1'
_space_group_IT_number 1
_space_group_name_Hall 'P 1'
loop_
_atom_site_label
_atom_site_fract_x
_atom_site_fract_y
_atom_site_fract_z
_atom_site_occupancy
Tb1 0.232 0.183 0.000 1
Tb2 0.268 0.683 0.500 1
Tb3 0.732 0.317 0.500 1
Tb4 0.768 0.817 0.000 1
Dy1 0.230 0.353 0.500 1
Dy2 0.270 0.853 0.000 1
Dy3 0.730 0.147 0.000 1
Dy4 0.770 0.647 0.500 1
Ho1 0.000 0.500 0.000 1
Ho2 0.500 0.000 0.500 1
Er1 0.000 0.000 0.000 1
Er2 0.500 0.500 0.500 1

# SrIn2Cu2 GGA-PBE optimized geometry
# * space-group type: P4/mbm, No. 127
data_SrIn2Cu2
_chemical_formula_sum 'Sr2 In4 Cu4'
_cell_length_a 7.821
_cell_length_b 7.821
_cell_length_c 3.729
_cell_angle_alpha 90.00
_cell_angle_beta 90.00
_cell_angle_gamma 90.00
_space_group_name_H-M_alt 'P 1'
_space_group_IT_number 1
_space_group_name_Hall 'P 1'
loop_
_atom_site_label
_atom_site_fract_x
_atom_site_fract_y
_atom_site_fract_z
_atom_site_occupancy
Sr1 0.000 0.000 0.000 1
Sr2 0.500 0.500 0.000 1
In1 0.164 0.336 0.500 1
In2 0.336 0.836 0.500 1
In3 0.664 0.164 0.500 1
In4 0.836 0.664 0.500 1
Cu1 0.114 0.614 0.000 1
Cu2 0.386 0.114 0.000 1
Cu3 0.614 0.886 0.000 1
Cu4 0.886 0.386 0.000 1

# ScTiV2S GGA-PBE optimized geometry
# * space-group type: P4/mmm, No. 123
# * E_form (uncorrected): 5.93 eV per formula unit
data_ScTiV2S
_chemical_formula_sum 'Sc1 Ti1 V2 S1'
_cell_length_a 4.534
_cell_length_b 4.534
_cell_length_c 4.682
_cell_angle_alpha 90.00
_cell_angle_beta 90.00
_cell_angle_gamma 90.00
_space_group_name_H-M_alt 'P 1'
_space_group_IT_number 1
_space_group_name_Hall 'P 1'
loop_
_atom_site_label
_atom_site_fract_x
_atom_site_fract_y
_atom_site_fract_z
_atom_site_occupancy
Sc1 0.000 0.000 0.000 1
Ti1 0.500 0.500 0.500 1
V1 0.000 0.500 0.000 1
V2 0.500 0.000 0.000 1
S1 0.000 0.000 0.500 1

# BeSiOs2 GGA-PBE optimized geometry
# * space-group type: R3m, No. 160
# * E_form (uncorrected): 0.38 eV per formula unit
data_BeSiOs2
_chemical_formula_sum 'Be1 Si1 Os2'
_cell_length_a 8.127
_cell_length_b 8.127
_cell_length_c 8.127
_cell_angle_alpha 19.46
_cell_angle_beta 19.46
_cell_angle_gamma 19.46
_space_group_name_H-M_alt 'P 1'
_space_group_IT_number 1
_space_group_name_Hall 'P 1'
loop_
_atom_site_label
_atom_site_fract_x
_atom_site_fract_y
_atom_site_fract_z
_atom_site_occupancy
Be1 0.000 0.000 0.000 1
Si1 0.252 0.252 0.252 1
Os1 0.504 0.504 0.504 1
Os2 0.745 0.745 0.745 1

Total magnetization
In order: 0.0 0.0 2.4 0.0 0.0 0.0 2.0 0.0
Unit: μB/f.u.
Energy
In order: -4.9897 -4.6749 -9.2933 -2.9742 -4.3251 -3.0693 -6.1323 -7.8068
Unit: eV/atom